# 1
Density functional theory data (PBE-GGA) for a relaxed structure of MnAg2Bi2.

Cell lengths 4.5156, 4.5156, 7.3755 Å; angles 72.17, 72.17, 90.00 degrees
Closest atoms and distances in Å follow each position.
Element x y z (fractional)
Bi1 0.7500 0.2500 0.5000  4 Ag 3.03, 4 Bi 3.19
Mn1 0.0000 0.0000 0.0000  8 Ag 3.45
Bi2 0.2500 0.7500 0.5000  4 Ag 3.03, 4 Bi 3.19
Ag1 0.4015 0.4015 0.1970  1 Ag 2.62
Ag2 0.5985 0.5985 0.8030  1 Ag 2.62

---

# 2
Density functional theory data (PBE-GGA) for a relaxed structure of MnAg3Bi.

Cell lengths 4.9632, 4.9632, 4.9632 Å; angles 90.00, 90.00, 90.00 degrees
Closest atoms and distances in Å follow each position.
Element x y z (fractional)
Mn1 0.0000 0.0000 0.0000  6 Ag 2.48
Ag1 0.0000 0.5000 0.0000  2 Mn 2.48
Bi1 0.5000 0.5000 0.5000  12 Ag 3.51
Ag2 0.0000 0.0000 0.5000  2 Mn 2.48
Ag3 0.5000 0.0000 0.0000  2 Mn 2.48

---

# 3
Density functional theory data (PBE-GGA) for a relaxed structure of MnAgBi3.

Cell lengths 5.1339, 5.1339, 5.1339 Å; angles 90.00, 90.00, 90.00 degrees
Closest atoms and distances in Å follow each position.
Element x y z (fractional)
Ag1 0.5000 0.5000 0.5000  12 Bi 3.63
Bi1 0.5000 0.0000 0.0000  2 Mn 2.57
Mn1 0.0000 0.0000 0.0000  6 Bi 2.57
Bi2 0.0000 0.0000 0.5000  2 Mn 2.57
Bi3 0.0000 0.5000 0.0000  2 Mn 2.57

---

# 4
Density functional theory data (PBE-GGA) for a relaxed structure of Mn2AgBi.

Cell lengths 4.1918, 4.1918, 10.2063 Å; angles 78.15, 78.15, 90.00 degrees
Closest atoms and distances in Å follow each position.
Element x y z (fractional)
Bi1 0.0000 0.0000 0.0000  4 Mn 2.86, 4 Ag 2.96
Ag1 0.5000 0.5000 0.0000  4 Mn 2.85, 4 Bi 2.96
Mn1 0.6222 0.1250 0.2500  2 Ag 2.85, 2 Bi 2.86, 4 Mn 2.95-2.98
Bi2 0.7500 0.2500 0.5000  4 Mn 2.86, 4 Ag 2.96
Mn2 0.8750 0.8722 0.7500  2 Ag 2.85, 2 Bi 2.86, 4 Mn 2.95-2.98
Mn3 0.1278 0.6250 0.2500  2 Ag 2.85, 2 Bi 2.86, 4 Mn 2.95-2.98
Mn4 0.3750 0.3778 0.7500  2 Ag 2.85, 2 Bi 2.86, 4 Mn 2.95-2.98
Ag2 0.2500 0.7500 0.5000  4 Mn 2.85, 4 Bi 2.96

---

# 5
Density functional theory data (PBE-GGA) for a relaxed structure of MnAg2Bi2.

Cell lengths 3.8125, 3.8125, 8.7741 Å; angles 77.45, 77.45, 90.00 degrees
Closest atoms and distances in Å follow each position.
Element x y z (fractional)
Bi1 0.5983 0.5983 0.8035  4 Mn 3.16, 4 Ag 3.17, 1 Bi 3.28
Ag1 0.7500 0.2500 0.5000  4 Ag 2.70
Ag2 0.2500 0.7500 0.5000  4 Ag 2.70
Bi2 0.4017 0.4017 0.1965  4 Mn 3.16, 4 Ag 3.17, 1 Bi 3.28
Mn1 0.0000 0.0000 0.0000  8 Bi 3.16

---

# 6
Density functional theory data (PBE-GGA) for a relaxed structure of MnAg2Bi2.

Cell lengths 7.3774, 7.3774, 4.3284 Å; angles 90.00, 90.00, 90.00 degrees
Closest atoms and distances in Å follow each position.
Element x y z (fractional)
Bi1 0.8267 0.3267 0.5000  6 Ag 2.95-3.15
Bi2 0.6733 0.8267 0.5000  6 Ag 2.95-3.15
Ag1 0.1348 0.3652 0.0000  1 Ag 2.81, 2 Mn 2.87, 2 Bi 2.95
Ag2 0.3652 0.8652 0.0000  1 Ag 2.81, 2 Mn 2.87, 2 Bi 2.95
Bi3 0.3267 0.1733 0.5000  6 Ag 2.95-3.15
Mn1 0.5000 0.5000 0.0000  4 Ag 2.87
Ag3 0.8652 0.6348 0.0000  1 Ag 2.81, 2 Mn 2.87, 2 Bi 2.95
Ag4 0.6348 0.1348 0.0000  1 Ag 2.81, 2 Mn 2.87, 2 Bi 2.95
Mn2 0.0000 0.0000 0.0000  4 Ag 2.87
Bi4 0.1733 0.6733 0.5000  6 Ag 2.95-3.15

---

no.,energy of formation (eV per atom),M_tot (Bohr magnetons per cell)
1,0.57,4.71
2,0.76,4.49
3,0.57,0.00
4,0.66,16.09
5,0.32,3.87
6,0.31,8.24